Below is a relaxed structure of In2SBr, with properties calculated at the GGA-PBE level.

Summary:
- magnetic moment (μB per formula unit) = 0.00
- space-group type = I-42d, No. 122
- E_form (uncorrected) (meV per atom) = -341
- ΔE to the lowest computed polymorph (meV/atom) = 214

Cell lengths 7.756, 7.756, 6.826 Å; angles 55.38, 55.38, 90.00 degrees
Fractional positions:
1 S 0.500 0.500 0.000
2 S 0.250 0.750 0.500
3 Br 0.000 0.000 0.000
4 Br 0.750 0.250 0.500
5 In 0.586 0.125 0.250
6 In 0.164 0.625 0.250
7 In 0.375 0.414 0.750
8 In 0.875 0.836 0.750


Below is a relaxed structure of InS3Br, with properties calculated at the GGA-PBE level.

Summary:
- magnetic moment (μB per formula unit) = 4.00
- space-group type = Pm-3m, No. 221
- E_form (uncorrected) (meV per atom) = 675
- ΔE to the lowest computed polymorph (meV/atom) = 947

Cell lengths 5.150, 5.150, 5.150 Å; angles 90.00, 90.00, 90.00 degrees
Fractional positions:
1 S 0.000 0.500 0.000
2 S 0.000 0.000 0.500
3 S 0.500 0.000 0.000
4 Br 0.500 0.500 0.500
5 In 0.000 0.000 0.000


Below is a relaxed structure of In2SBr2, with properties calculated at the GGA-PBE level.

Summary:
- magnetic moment (μB per formula unit) = 0.00
- space-group type = P4/mbm, No. 127
- E_form (uncorrected) (meV per atom) = -349

Cell lengths 7.647, 7.647, 4.792 Å; angles 90.00, 90.00, 90.00 degrees
Fractional positions:
1 S 0.000 0.000 0.000
2 S 0.500 0.500 0.000
3 Br 0.153 0.653 0.500
4 Br 0.653 0.847 0.500
5 Br 0.847 0.347 0.500
6 Br 0.347 0.153 0.500
7 In 0.297 0.797 0.000
8 In 0.797 0.703 0.000
9 In 0.703 0.203 0.000
10 In 0.203 0.297 0.000


Below is a relaxed structure of In2S4Br, with properties calculated at the GGA-PBE level.

Summary:
- magnetic moment (μB per formula unit) = 0.94
- space-group type = I4/mmm, No. 139
- E_form (uncorrected) (meV per atom) = 309

Cell lengths 5.127, 5.127, 8.089 Å; angles 71.52, 71.52, 90.00 degrees
Fractional positions:
1 S 0.764 0.764 0.473
2 S 0.236 0.236 0.527
3 S 0.000 0.500 0.000
4 S 0.500 0.000 0.000
5 Br 0.000 0.000 0.000
6 In 0.602 0.602 0.795
7 In 0.398 0.398 0.205


Below is a relaxed structure of InSbS2Br, with properties calculated at the GGA-PBE level.

Summary:
- magnetic moment (μB per formula unit) = 0.00
- space-group type = P2_1/m, No. 11
- E_form (uncorrected) (meV per atom) = -376

Cell lengths 4.979, 10.024, 9.843 Å; angles 133.47, 90.00, 90.00 degrees
Fractional positions:
1 In 0.250 0.370 0.533
2 In 0.750 0.630 0.467
3 Sb 0.250 0.357 0.029
4 Sb 0.750 0.643 0.971
5 S 0.750 0.498 0.627
6 S 0.250 0.502 0.373
7 S 0.750 0.502 0.124
8 S 0.250 0.498 0.876
9 Br 0.250 0.019 0.279
10 Br 0.750 0.981 0.721


Below is a relaxed structure of InSeSBr2, with properties calculated at the GGA-PBE level.

Summary:
- magnetic moment (μB per formula unit) = 3.24
- space-group type = P4/mmm, No. 123
- E_form (uncorrected) (meV per atom) = 358
- ΔE to the lowest computed polymorph (meV/atom) = 269

Cell lengths 5.484, 5.484, 5.492 Å; angles 90.00, 90.00, 90.00 degrees
Fractional positions:
1 S 0.500 0.500 0.500
2 Se 0.000 0.000 0.500
3 Br 0.000 0.500 0.000
4 Br 0.500 0.000 0.000
5 In 0.000 0.000 0.000


Below is a relaxed structure of InSeSBr2, with properties calculated at the GGA-PBE level.

Summary:
- magnetic moment (μB per formula unit) = 0.02
- space-group type = P4/mmm, No. 123
- E_form (uncorrected) (meV per atom) = 89
- ΔE to the lowest computed polymorph (meV/atom) = 0

Cell lengths 5.487, 5.487, 5.091 Å; angles 90.00, 90.00, 90.00 degrees
Fractional positions:
1 S 0.000 0.000 0.000
2 Se 0.000 0.000 0.500
3 Br 0.000 0.500 0.000
4 Br 0.500 0.000 0.000
5 In 0.500 0.500 0.500


Below is a relaxed structure of InSnS2Br, with properties calculated at the GGA-PBE level.

Summary:
- magnetic moment (μB per formula unit) = 0.00
- space-group type = P2_1/m, No. 11
- E_form (uncorrected) (meV per atom) = -569

Cell lengths 5.614, 10.619, 7.958 Å; angles 137.36, 90.00, 90.00 degrees
Fractional positions:
1 In 0.250 0.602 0.459
2 In 0.750 0.398 0.541
3 Sn 0.250 0.696 0.080
4 Sn 0.750 0.304 0.920
5 S 0.750 0.556 0.419
6 S 0.250 0.444 0.581
7 S 0.750 0.590 0.989
8 S 0.250 0.410 0.011
9 Br 0.250 0.948 0.734
10 Br 0.750 0.052 0.266


Below is a relaxed structure of InSnSBr, with properties calculated at the GGA-PBE level.

Summary:
- magnetic moment (μB per formula unit) = 0.00
- space-group type = R-3m, No. 166
- E_form (uncorrected) (meV per atom) = -427

Cell lengths 5.133, 5.133, 12.365 Å; angles 78.02, 78.02, 60.00 degrees
Fractional positions:
1 In 0.712 0.712 0.864
2 In 0.288 0.288 0.136
3 Sn 0.129 0.129 0.613
4 Sn 0.871 0.871 0.387
5 S 0.799 0.799 0.602
6 S 0.201 0.201 0.398
7 Br 0.601 0.601 0.198
8 Br 0.399 0.399 0.802


Below is a relaxed structure of Ta2InSBr, with properties calculated at the GGA-PBE level.

Summary:
- magnetic moment (μB per formula unit) = 0.00
- space-group type = P4/mmm, No. 123
- E_form (uncorrected) (meV per atom) = 725

Cell lengths 4.562, 6.240, 4.562 Å; angles 90.00, 90.00, 90.00 degrees
Fractional positions:
1 S 0.000 0.000 0.000
2 In 0.500 0.500 0.500
3 Br 0.000 0.500 0.000
4 Ta 0.000 0.000 0.500
5 Ta 0.500 0.000 0.000


Below is a relaxed structure of Tl2InSBr, with properties calculated at the GGA-PBE level.

Summary:
- magnetic moment (μB per formula unit) = 0.00
- space-group type = P4/mmm, No. 123
- E_form (uncorrected) (meV per atom) = -163

Cell lengths 6.156, 6.156, 4.858 Å; angles 90.00, 90.00, 90.00 degrees
Fractional positions:
1 Tl 0.000 0.500 0.000
2 Tl 0.500 0.000 0.000
3 S 0.000 0.000 0.500
4 Br 0.500 0.500 0.500
5 In 0.000 0.000 0.000


Below is a relaxed structure of Tl2InSBr3, with properties calculated at the GGA-PBE level.

Summary:
- magnetic moment (μB per formula unit) = 0.00
- space-group type = Immm, No. 71
- E_form (uncorrected) (meV per atom) = -648

Cell lengths 5.086, 5.550, 9.099 Å; angles 107.76, 106.23, 90.00 degrees
Fractional positions:
1 Tl 0.631 0.631 0.263
2 Tl 0.369 0.369 0.737
3 In 0.000 0.000 0.000
4 S 0.500 0.000 0.000
5 Br 0.000 0.500 0.000
6 Br 0.166 0.166 0.331
7 Br 0.834 0.834 0.669


Q: Number 12 is which compound?
A: Tl2InSBr3


Q: Number 3 is which compound?
A: In2SBr2